AgTeIr2: single point on PBEsol structure, meta-GGA SCAN.

Cell lengths 5.673, 9.476, 2.900 Å; angles 90.00, 120.55, 90.00 degrees
Fractional positions:
1 Ag 0.000 0.000 0.000
2 Ag 0.500 0.500 0.000
3 Te 0.000 0.500 0.000
4 Te 0.500 0.000 0.000
5 Ir 0.250 0.250 0.500
6 Ir 0.250 0.750 0.500
7 Ir 0.750 0.250 0.500
8 Ir 0.750 0.750 0.500

Output
space-group type	C2/m
E_tot	-52.0587	eV/atom



AgTeIr2: single point on PBEsol structure, meta-GGA SCAN.

Cell lengths 3.052, 3.649, 5.880 Å; angles 90.00, 90.00, 90.00 degrees
Fractional positions:
1 Ag 0.000 0.000 0.000
2 Te 0.000 0.000 0.500
3 Ir 0.500 0.500 0.248
4 Ir 0.500 0.500 0.752

Output
space-group type	Pmmm
E_tot	-52.1710	eV/atom



AgTe2Ir: single point on PBEsol structure, meta-GGA SCAN.

Cell lengths 6.879, 6.879, 6.879 Å; angles 90.00, 90.00, 90.00 degrees
Fractional positions:
1 Ag 0.000 0.000 0.000
2 Ag 0.000 0.500 0.500
3 Ag 0.500 0.000 0.500
4 Ag 0.500 0.500 0.000
5 Te 0.000 0.000 0.500
6 Te 0.000 0.500 0.000
7 Te 0.250 0.250 0.750
8 Te 0.250 0.750 0.250
9 Te 0.500 0.000 0.000
10 Te 0.500 0.500 0.500
11 Te 0.750 0.250 0.250
12 Te 0.750 0.750 0.750
13 Ir 0.250 0.250 0.250
14 Ir 0.250 0.750 0.750
15 Ir 0.750 0.250 0.750
16 Ir 0.750 0.750 0.250

Output
space-group type	F-43m
energy above the most stable polymorph in this dataset	986	meV per atom



AgTeIr2: single point on PBEsol structure, meta-GGA SCAN.

Cell lengths 2.903, 2.903, 8.317 Å; angles 90.00, 90.00, 90.00 degrees
Fractional positions:
1 Ag 0.000 0.000 0.000
2 Te 0.500 0.500 0.685
3 Ir 0.000 0.000 0.438
4 Ir 0.500 0.500 0.234

Output
space-group type	P4mm
E_tot	-52.2109	eV/atom



Ti3AgIr: single point on PBEsol structure, meta-GGA SCAN.

Cell lengths 4.694, 4.694, 4.694 Å; angles 90.00, 90.00, 90.00 degrees
Fractional positions:
1 Ti 0.000 0.000 0.500
2 Ti 0.000 0.500 0.000
3 Ti 0.500 0.000 0.000
4 Ag 0.500 0.500 0.500
5 Ir 0.000 0.000 0.000

Output
space-group type	Pm-3m
E_form	0.253	eV per atom



TlAgIr: single point on PBEsol structure, meta-GGA SCAN.

Cell lengths 3.010, 4.028, 8.593 Å; angles 90.00, 90.00, 90.00 degrees
Fractional positions:
1 Tl 0.000 0.000 0.000
2 Tl 0.500 0.500 0.500
3 Ag 0.000 0.000 0.324
4 Ag 0.500 0.500 0.824
5 Ir 0.000 0.000 0.662
6 Ir 0.500 0.500 0.162

Output
space-group type	Imm2
E_form	0.584	eV per atom
energy above the most stable polymorph in this dataset	0	meV per atom



TlAgIr2: single point on PBEsol structure, meta-GGA SCAN.

Cell lengths 2.787, 3.647, 7.249 Å; angles 90.00, 101.17, 90.00 degrees
Fractional positions:
1 Tl 0.000 0.000 0.000
2 Ag 0.642 0.500 0.282
3 Ir 0.267 0.000 0.530
4 Ir 0.846 0.500 0.685

Output
space-group type	Pm
E_form	0.427	eV per atom
energy above the most stable polymorph in this dataset	0	meV per atom



TlAgIr2: single point on PBEsol structure, meta-GGA SCAN.

Cell lengths 4.055, 4.055, 7.919 Å; angles 90.00, 90.00, 90.00 degrees
Fractional positions:
1 Tl 0.000 0.000 0.000
2 Tl 0.500 0.500 0.500
3 Ag 0.000 0.000 0.500
4 Ag 0.500 0.500 0.000
5 Ir 0.000 0.500 0.250
6 Ir 0.000 0.500 0.750
7 Ir 0.500 0.000 0.250
8 Ir 0.500 0.000 0.750

Output
space-group type	I4/mmm
E_form	0.691	eV per atom
energy above the most stable polymorph in this dataset	264	meV per atom



TlAgIr: single point on PBEsol structure, meta-GGA SCAN.

Cell lengths 3.004, 5.044, 14.180 Å; angles 90.00, 90.00, 90.00 degrees
Fractional positions:
1 Tl 0.000 0.000 0.000
2 Tl 0.000 0.500 0.500
3 Tl 0.500 0.000 0.500
4 Tl 0.500 0.500 0.000
5 Ag 0.000 0.000 0.323
6 Ag 0.000 0.500 0.823
7 Ag 0.500 0.000 0.823
8 Ag 0.500 0.500 0.323
9 Ir 0.000 0.000 0.663
10 Ir 0.000 0.500 0.163
11 Ir 0.500 0.000 0.163
12 Ir 0.500 0.500 0.663

Output
space-group type	Fmm2
E_form	0.614	eV per atom
energy above the most stable polymorph in this dataset	30	meV per atom



TlAg2Ir: single point on PBEsol structure, meta-GGA SCAN.

Cell lengths 2.989, 4.932, 9.588 Å; angles 90.00, 90.00, 90.00 degrees
Fractional positions:
1 Tl 0.000 0.000 0.000
2 Tl 0.500 0.500 0.000
3 Ag 0.000 0.000 0.514
4 Ag 0.000 0.500 0.272
5 Ag 0.500 0.000 0.272
6 Ag 0.500 0.500 0.514
7 Ir 0.000 0.500 0.752
8 Ir 0.500 0.000 0.752

Output
space-group type	Cmm2
E_form	0.466	eV per atom
energy above the most stable polymorph in this dataset	44	meV per atom



TlAgIr4: single point on PBEsol structure, meta-GGA SCAN.

Cell lengths 5.210, 5.210, 5.210 Å; angles 60.00, 60.00, 60.00 degrees
Fractional positions:
1 Tl 0.000 0.000 0.000
2 Ag 0.250 0.250 0.250
3 Ir 0.126 0.625 0.625
4 Ir 0.625 0.126 0.625
5 Ir 0.625 0.625 0.126
6 Ir 0.625 0.625 0.625

Output
space-group type	F-43m
E_form	0.599	eV per atom



TlAg2Ir: single point on PBEsol structure, meta-GGA SCAN.

Cell lengths 2.979, 3.973, 5.828 Å; angles 90.00, 90.00, 90.00 degrees
Fractional positions:
1 Tl 0.000 0.000 0.000
2 Ag 0.000 0.000 0.515
3 Ag 0.500 0.500 0.288
4 Ir 0.500 0.500 0.773

Output
space-group type	Pmm2
E_form	0.422	eV per atom
energy above the most stable polymorph in this dataset	0	meV per atom



TlAgIr3: single point on PBEsol structure, meta-GGA SCAN.

Cell lengths 4.893, 4.893, 4.893 Å; angles 90.00, 90.00, 90.00 degrees
Fractional positions:
1 Tl 0.000 0.000 0.000
2 Ag 0.500 0.500 0.500
3 Ir 0.000 0.000 0.500
4 Ir 0.000 0.500 0.000
5 Ir 0.500 0.000 0.000

Output
space-group type	Pm-3m
E_form	2.631	eV per atom



AgIrW: single point on PBEsol structure, meta-GGA SCAN.

Cell lengths 2.789, 3.896, 8.338 Å; angles 90.00, 90.00, 90.00 degrees
Fractional positions:
1 Ag 0.000 0.000 0.000
2 Ag 0.500 0.500 0.500
3 Ir 0.000 0.000 0.674
4 Ir 0.500 0.500 0.174
5 W 0.000 0.000 0.325
6 W 0.500 0.500 0.825

Output
space-group type	Imm2
E_form	0.227	eV per atom
energy above the most stable polymorph in this dataset	0	meV per atom



Ag2IrW: single point on PBEsol structure, meta-GGA SCAN.

Cell lengths 3.710, 3.710, 4.581 Å; angles 90.00, 90.00, 90.00 degrees
Fractional positions:
1 Ag 0.000 0.500 0.000
2 Ag 0.500 0.000 0.000
3 Ir 0.000 0.000 0.500
4 W 0.500 0.500 0.500

Output
space-group type	P4/mmm
E_form	0.610	eV per atom



Number 1: size of the total moment 0.00 μB/f.u., DOS at the Fermi energy 3.4 states/eV/f.u., ρ 15.33 Mg/m³. Number 2: size of the total moment 0.00 μB/f.u., DOS at the Fermi energy 2.5 states/eV/f.u., ρ 15.72 Mg/m³. Number 3: size of the total moment 0.00 μB/f.u., DOS at the Fermi energy 3.0 states/eV/f.u., ρ 11.33 Mg/m³. Number 4: size of the total moment 0.00 μB/f.u., DOS at the Fermi energy 2.4 states/eV/f.u., ρ 14.68 Mg/m³. Number 5: size of the total moment 2.59 μB/f.u., DOS at the Fermi energy 5.8 states/eV/f.u., ρ 7.13 Mg/m³. Number 6: size of the total moment 0.00 μB/f.u., DOS at the Fermi energy 1.9 states/eV/f.u., ρ 16.08 Mg/m³. Number 7: size of the total moment 0.00 μB/f.u., DOS at the Fermi energy 3.0 states/eV/f.u., ρ 16.01 Mg/m³. Number 8: size of the total moment 0.00 μB/f.u., DOS at the Fermi energy 5.7 states/eV/f.u., ρ 17.77 Mg/m³. Number 9: size of the total moment 0.00 μB/f.u., DOS at the Fermi energy 0.9 states/eV/f.u., ρ 15.60 Mg/m³. Number 10: size of the total moment 0.00 μB/f.u., DOS at the Fermi energy 1.6 states/eV/f.u., ρ 14.39 Mg/m³. Number 11: size of the total moment 0.88 μB/f.u., DOS at the Fermi energy 2.8 states/eV/f.u., ρ 17.95 Mg/m³. Number 12: size of the total moment 0.00 μB/f.u., DOS at the Fermi energy 1.8 states/eV/f.u., ρ 14.74 Mg/m³. Number 13: size of the total moment 2.93 μB/f.u., DOS at the Fermi energy 4.3 states/eV/f.u., ρ 12.60 Mg/m³. Number 14: size of the total moment 0.00 μB/f.u., DOS at the Fermi energy 1.5 states/eV/f.u., ρ 17.74 Mg/m³. Number 15: size of the total moment 0.00 μB/f.u., DOS at the Fermi energy 3.9 states/eV/f.u., ρ 15.59 Mg/m³.